Below is a geometry-optimized Na2Li2Y structure, with properties calculated at the GGA-PBE level.

Lattice parameters (Å, degrees): 9.0947 9.0947 3.3365 90.00 90.00 90.00
Last column: nearest neighbours and their distance in Å.
Fractional coordinates of all 10 atoms:
Li (0.8177, 0.3177, 0.5000)  6 Na 3.00-3.29, 2 Li 3.34
Li (0.3177, 0.1823, 0.5000)  6 Na 3.00-3.29, 2 Li 3.34
Na (0.8764, 0.6236, 0.0000)  6 Li 3.00-3.29, 3 Na 3.18-3.34
Na (0.6236, 0.1236, 0.0000)  6 Li 3.00-3.29, 3 Na 3.18-3.34
Na (0.3764, 0.8764, 0.0000)  6 Li 3.00-3.29, 3 Na 3.18-3.34
Li (0.1823, 0.6823, 0.5000)  6 Na 3.00-3.29, 2 Li 3.34
Na (0.1236, 0.3764, 0.0000)  6 Li 3.00-3.29, 3 Na 3.18-3.34
Y (0.5000, 0.5000, 0.0000)  2 Y 3.34, 4 Na 3.60, 8 Li 3.73
Li (0.6823, 0.8177, 0.5000)  6 Na 3.00-3.29, 2 Li 3.34
Y (0.0000, 0.0000, 0.0000)  2 Y 3.34, 4 Na 3.60, 8 Li 3.73

Properties
**Total energy**: -23.827 eV/cell
**SG**: P4/mbm, No. 127
**Calculated formation energy**: 0.203 eV per atom